[1]
{
  "formula": "In2Hg3Pb8",
  "functional": "PBE",
  "state": "relaxed",
  "m_tot_mub_per_atom": 0.00,
  "relative_energy_mev_per_atom": 0,
  "dos_ef_per_ev_atom": 0.425,
  "e_form_ev_per_atom": 0.06,
  "final_energy_ev_per_atom": -2.71,
  "space_group": "P2/m, No. 10",
  "lattice": [[11.343, 0.000, 0.000], [0.000, 3.444, 0.000], [-4.798, 0.000, 10.413]],
  "species": ["In", "In", "Hg", "Hg", "Hg", "Pb", "Pb", "Pb", "Pb", "Pb", "Pb", "Pb", "Pb"],
  "fractional_positions": [[0.020, 0.000, 0.257], [0.980, 0.000, 0.743], [0.476, 0.500, 0.719], [0.500, 0.000, 0.000], [0.524, 0.500, 0.281], [0.166, 0.000, 0.070], [0.166, 0.000, 0.568], [0.248, 0.500, 0.850], [0.301, 0.500, 0.376], [0.699, 0.500, 0.624], [0.752, 0.500, 0.150], [0.834, 0.000, 0.432], [0.834, 0.000, 0.930]]
}

=====

[2]
{
  "formula": "Tm2Zn3Cd",
  "functional": "PBE",
  "state": "relaxed",
  "m_tot_mub_per_atom": 0.00,
  "relative_energy_mev_per_atom": 97,
  "dos_ef_per_ev_atom": 0.773,
  "e_form_ev_per_atom": -0.24,
  "final_energy_ev_per_atom": -2.52,
  "space_group": "Imm2, No. 44",
  "lattice": [[-1.792, 2.276, 7.934], [1.792, -2.276, 7.934], [1.792, 2.276, -7.934]],
  "species": ["Tm", "Tm", "Zn", "Zn", "Zn", "Cd"],
  "fractional_positions": [[0.000, 0.000, 0.000], [0.780, 0.280, 0.500], [0.183, 0.683, 0.500], [0.337, 0.837, 0.500], [0.438, 0.438, 0.000], [0.603, 0.603, 0.000]]
}

=====

[3]
{
  "formula": "Ba2SrGa2",
  "functional": "PBE",
  "state": "relaxed",
  "m_tot_mub_per_atom": 0.00,
  "relative_energy_mev_per_atom": 118,
  "dos_ef_per_ev_atom": 0.632,
  "e_form_ev_per_atom": -0.17,
  "final_energy_ev_per_atom": -2.48,
  "space_group": "I4/mmm, No. 139",
  "lattice": [[-2.619, 2.619, 7.079], [2.619, -2.619, 7.079], [2.619, 2.619, -7.079]],
  "species": ["Ba", "Ba", "Sr", "Ga", "Ga"],
  "fractional_positions": [[0.250, 0.750, 0.500], [0.750, 0.250, 0.500], [0.000, 0.000, 0.000], [0.413, 0.413, 0.000], [0.587, 0.587, 0.000]]
}

=====

[4]
{
  "formula": "TiNbGaCu",
  "functional": "PBE",
  "state": "relaxed",
  "m_tot_mub_per_atom": 0.00,
  "dos_ef_per_ev_atom": 1.124,
  "e_form_ev_per_atom": -0.13,
  "final_energy_ev_per_atom": -6.40,
  "space_group": "F-43m, No. 216",
  "lattice": [[0.000, 3.151, 3.151], [3.151, 0.000, 3.151], [3.151, 3.151, 0.000]],
  "species": ["Ti", "Nb", "Ga", "Cu"],
  "fractional_positions": [[0.000, 0.000, 0.000], [0.500, 0.500, 0.500], [0.750, 0.750, 0.750], [0.250, 0.250, 0.250]]
}